VASP calculation (GGA-PBE) on a relaxed SrInRh crystal.

The space group is P-6m2 (No. 187) and the conventional cell measures 4.5733, 4.5733 and 4.5067 Å, with angles of 90.00, 90.00 and 120.00 degrees. The inequivalent atoms are Sr at (0.0000, 0.0000, 0.0000), In at (0.6667, 0.3333, 0.5000) and Rh at (0.3333, 0.6667, 0.5000).

The calculation puts the total magnetization at 0.0 μB/cell. The value obtained for the formation energy from the elements is -0.369 eV per atom.



VASP calculation (GGA-PBE) on a relaxed Li2ZrSe crystal.

The space group is Cmmm (No. 65) and the conventional cell measures 3.6964, 4.6589 and 9.0047 Å, with angles of 90.00, 90.00 and 90.00 degrees. The inequivalent atoms are Li at (0.0000, 0.0000, 0.1975), Zr at (0.0000, 0.5000, 0.5000) and Se at (0.0000, 0.5000, 0.0000).

The calculation puts the total magnetization at 0.0 μB/cell. The uncorrected formation energy is -0.21 eV/atom.



VASP calculation (GGA-PBE) on a relaxed Na2CaCeTe4 crystal.

The space group is P2/m (No. 10) and the conventional cell measures 7.7850, 4.5505 and 7.9013 Å, with angles of 90.00, 109.04 and 90.00 degrees. The inequivalent atoms are Na at (0.0000, 0.0000, 0.0000), Na at (0.5000, 0.5000, 0.0000), Ca at (0.0000, 0.5000, 0.5000), Ce at (0.5000, 0.0000, 0.5000), Te at (0.2542, 0.0000, 0.7350) and Te at (0.2630, 0.5000, 0.2657).

The calculation puts the total magnetization at 0.1 μB/cell. The uncorrected formation energy is -1.24 eV/atom.



VASP calculation (GGA-PBE) on a relaxed PmHo4Er8 crystal.

The space group is R-3m (No. 166, hexagonal axes) and the conventional cell measures 7.2385, 7.2385 and 26.8245 Å, with angles of 90.00, 90.00 and 120.00 degrees. The inequivalent atoms are Pm at (0.0000, 0.0000, 0.0000), Ho at (0.0000, 0.0000, 0.5000), Ho at (0.0000, 0.5000, 0.5000), Er at (0.0000, 0.0000, 0.2819) and Er at (0.0378, 0.5189, 0.2685).

The calculation puts the total magnetization at 0.0 μB/cell. The value obtained for the formation energy from the elements is 0.209 eV per atom.



VASP calculation (GGA-PBE) on a relaxed ZrCrCo crystal.

The space group is Amm2 (No. 38) and the conventional cell measures 7.8477, 4.9990 and 8.8466 Å, with angles of 90.00, 90.00 and 90.00 degrees. The inequivalent atoms are Zr at (0.1851, 0.0000, 0.0000), Zr at (0.3051, 0.0000, 0.6678), Cr at (0.2530, 0.0000, 0.3372), Cr at (0.5000, 0.2495, 0.9150), Co at (0.0000, 0.0000, 0.5016), Co at (0.0000, 0.2479, 0.2518) and Co at (0.5000, 0.0000, 0.1590).

The calculation puts the total magnetization at 0.1 μB/cell. The value obtained for the formation energy from the elements is -0.170 eV per atom.



VASP calculation (GGA-PBE) on a relaxed TbSm2Er crystal.

The space group is P4/mmm (No. 123) and the conventional cell measures 3.5799, 3.5799 and 10.1240 Å, with angles of 90.00, 90.00 and 90.00 degrees. The inequivalent atoms are Tb at (0.0000, 0.0000, 0.0000), Sm at (0.5000, 0.5000, 0.2517) and Er at (0.0000, 0.0000, 0.5000).

The calculation puts the total magnetization at 0.0 μB/cell. The value obtained for the formation energy from the elements is 0.018 eV per atom.



VASP calculation (GGA-PBE) on a relaxed LiNi2Ru crystal.

The space group is P2/m (No. 10) and the conventional cell measures 2.5370, 3.7430 and 5.0173 Å, with angles of 90.00, 90.28 and 90.00 degrees. The inequivalent atoms are Li at (0.0000, 0.0000, 0.0000), Ni at (0.4981, 0.5000, 0.2539) and Ru at (0.0000, 0.0000, 0.5000).

The calculation puts the total magnetization at 0.0 μB/cell. The value obtained for the formation energy from the elements is 0.077 eV per atom.



VASP calculation (GGA-PBE) on a relaxed Ac6DyHo crystal.

The space group is I4/mmm (No. 139) and the conventional cell measures 5.5782, 5.5782 and 21.3626 Å, with angles of 90.00, 90.00 and 90.00 degrees. The inequivalent atoms are Ac at (0.0000, 0.0000, 0.2499), Ac at (0.0000, 0.5000, 0.1163), Dy at (0.0000, 0.0000, 0.0000) and Ho at (0.0000, 0.0000, 0.5000).

The calculation puts the total magnetization at 0.0 μB/cell. The value obtained for the formation energy from the elements is 0.048 eV per atom.